Record 1
Sr2Au after structural relaxation, computed with PBE-GGA.

a = 5.5292 Å, b = 5.5292 Å, c = 3.5502 Å
α = 90.00°, β = 90.00°, γ = 120.00°
Fractional coordinates of all 3 atoms:
Au 0.0000 0.0000 0.5000
Sr 0.6667 0.3333 0.0000
Sr 0.3333 0.6667 0.0000

space-group type = No. 191
energy of formation = 0.01 eV/atom


Record 2
Be2TlAg after structural relaxation, computed with PBE-GGA.

a = 4.2292 Å, b = 4.2292 Å, c = 3.4126 Å
α = 90.00°, β = 90.00°, γ = 93.90°
Fractional coordinates of all 4 atoms:
Ag 0.0000 0.5000 0.5000
Be 0.5000 0.5000 0.0000
Tl 0.5000 0.0000 0.5000
Be 0.0000 0.0000 0.0000

E above lowest polymorph = 0.1972 eV/atom
space-group type = No. 65
energy of formation = 0.59 eV/atom


Record 3
Tm2ZrSc after structural relaxation, computed with PBE-GGA.

a = 3.3451 Å, b = 3.3451 Å, c = 9.5226 Å
α = 90.00°, β = 90.00°, γ = 90.00°
Fractional coordinates of all 4 atoms:
Zr 0.5000 0.5000 0.5000
Tm 0.0000 0.0000 0.7419
Sc 0.5000 0.5000 0.0000
Tm 0.0000 0.0000 0.2581

E above lowest polymorph = 0.0096 eV/atom
space-group type = No. 123
energy of formation = 0.07 eV/atom


Record 4
LaTb3Ho2Te6 after structural relaxation, computed with PBE-GGA.

a = 4.3719 Å, b = 8.8464 Å, c = 9.8192 Å
α = 102.70°, β = 102.86°, γ = 90.00°
Fractional coordinates of all 12 atoms:
Te 0.6731 0.0881 0.3462
Tb 0.5000 0.5000 0.0000
Te 0.0029 0.2619 0.0059
Te 0.9971 0.7381 0.9941
Tb 0.8392 0.1684 0.6784
Ho 0.1651 0.3299 0.3302
Tb 0.1608 0.8316 0.3216
Ho 0.8349 0.6701 0.6698
Te 0.6684 0.5812 0.3369
Te 0.3269 0.9119 0.6538
Te 0.3316 0.4188 0.6631
La 0.5000 0.0000 0.0000

space-group type = No. 12
formation energy from raw total energies = -16.00 eV/f.u.


Please write out number 4 again, unchanged.
LaTb3Ho2Te6 after structural relaxation, computed with PBE-GGA.

a = 4.3719 Å, b = 8.8464 Å, c = 9.8192 Å
α = 102.70°, β = 102.86°, γ = 90.00°
Fractional coordinates of all 12 atoms:
Te 0.6731 0.0881 0.3462
Tb 0.5000 0.5000 0.0000
Te 0.0029 0.2619 0.0059
Te 0.9971 0.7381 0.9941
Tb 0.8392 0.1684 0.6784
Ho 0.1651 0.3299 0.3302
Tb 0.1608 0.8316 0.3216
Ho 0.8349 0.6701 0.6698
Te 0.6684 0.5812 0.3369
Te 0.3269 0.9119 0.6538
Te 0.3316 0.4188 0.6631
La 0.5000 0.0000 0.0000

space-group type = No. 12
formation energy from raw total energies = -16.00 eV/f.u.


What did the third record say?
Tm2ZrSc after structural relaxation, computed with PBE-GGA.

a = 3.3451 Å, b = 3.3451 Å, c = 9.5226 Å
α = 90.00°, β = 90.00°, γ = 90.00°
Fractional coordinates of all 4 atoms:
Zr 0.5000 0.5000 0.5000
Tm 0.0000 0.0000 0.7419
Sc 0.5000 0.5000 0.0000
Tm 0.0000 0.0000 0.2581

E above lowest polymorph = 0.0096 eV/atom
space-group type = No. 123
energy of formation = 0.07 eV/atom